A geometry-optimized NdY3Tl structure. Source: Alexandria via LeMat-Bulk, functional PBE.

Structure (CIF):
```
data_NdY3Tl
_space_group_name_H-M_alt 'C 1 2/c 1'
_space_group_IT_number 15
_cell_length_a 17.707
_cell_length_b 6.096
_cell_length_c 11.866
_cell_angle_alpha 90.00
_cell_angle_beta 108.16
_cell_angle_gamma 90.00
loop_
_space_group_symop_operation_xyz
'x,y,z'
'-x,-y,-z'
'-x,y,-z+1/2'
'x,-y,z+1/2'
'x+1/2,y+1/2,z'
'-x+1/2,-y+1/2,-z'
'-x+1/2,y+1/2,-z+1/2'
'x+1/2,-y+1/2,z+1/2'
loop_
_atom_site_label
_atom_site_type_symbol
_atom_site_fract_x
_atom_site_fract_y
_atom_site_fract_z
Nd1 Nd 0.148 0.234 0.488
Y1 Y 0.054 0.256 0.019
Y2 Y 0.094 0.119 0.747
Y3 Y 0.210 0.439 0.250
Tl1 Tl 0.000 0.408 0.250
Tl2 Tl 0.250 0.250 0.000
```

The formation energy comes out at -0.1274 eV/atom. As for the density of states at the Fermi level: 7.01 states/eV/f.u.